(1)
Sm4Th3N8 | PBE | optimized geometry

POSCAR file:
```
Sm4Th3N8
1.0
7.188 -0.155 -0.223
-3.554 6.340 0.161
-3.554 -2.050 6.002
Th N Sm
3 8 4
Direct
0.500 0.000 0.500
0.500 0.500 0.500
0.500 0.500 0.000
0.000 0.763 0.237
0.000 0.237 0.763
0.500 0.751 0.249
0.523 0.756 0.756
0.477 0.244 0.244
0.986 0.758 0.758
0.014 0.242 0.242
0.500 0.249 0.751
0.000 0.500 0.000
0.500 0.000 0.000
0.000 0.000 0.500
0.000 0.000 0.000
```

Summary:
crystal system: monoclinic
total moment: 0.00 μB/cell
total energy: -8.484 eV/atom
raw formation energy: -1.301 eV/atom

***

(2)
Sm2Th2N5 | PBE | optimized geometry

POSCAR file:
```
Sm2Th2N5
1.0
-1.373 -4.580 -4.899
5.874 -3.110 1.261
-5.685 -1.982 3.447
Sm N Th
4 10 4
Direct
0.000 0.207 0.414
0.500 0.707 0.414
0.500 0.293 0.586
0.000 0.793 0.586
0.350 0.973 0.267
0.000 0.000 0.000
0.650 0.027 0.733
0.850 0.795 0.267
0.850 0.527 0.733
0.650 0.295 0.267
0.150 0.473 0.267
0.350 0.705 0.733
0.150 0.205 0.733
0.500 0.500 0.000
0.336 0.165 0.000
0.836 0.335 0.000
0.664 0.835 0.000
0.164 0.665 0.000
```

Summary:
crystal system: orthorhombic
total moment: 0.00 μB/cell
total energy: -8.612 eV/atom
raw formation energy: -1.289 eV/atom